## TiNb2Se5 (PBE)

Data for crystalline TiNb2Se5 at its relaxed geometry.

The energy above the lowest structure with this stoichiometry is 0.0 meV per atom. As for the raw formation energy: -17.5 kcal/mol of atoms.

It has space group Cmcm (No. 63), with a = 5.073 Å, b = 12.684 Å, c = 11.642 Å, α = 90.00°, β = 90.00° and γ = 90.00°. The distinct sites, in fractional coordinates, are Ti at (0.000, 0.196, 0.250), Nb at (0.000, 0.177, 0.532), Se at (0.000, 0.042, 0.119), Se at (0.000, 0.261, 0.750) and Se at (0.000, 0.348, 0.090).